# TmScGaAu PBE relaxed
data_TmScGaAu
_cell_length_a 3.432
_cell_length_b 3.432
_cell_length_c 7.075
_cell_angle_alpha 90.00
_cell_angle_beta 90.00
_cell_angle_gamma 90.00
_symmetry_space_group_name_H-M 'P 4 m m'
_symmetry_Int_Tables_number 99
_symmetry_space_group_name_Hall 'P 4 -2'
loop_
_atom_site_label
_atom_site_type_symbol
_atom_site_fract_x
_atom_site_fract_y
_atom_site_fract_z
_atom_site_occupancy
Tm1 Tm 0.000 0.000 0.000 1
Sc1 Sc 0.000 0.000 0.496 1
Ga1 Ga 0.500 0.500 0.732 1
Au1 Au 0.500 0.500 0.268 1
# Calculated volume, Å³/cell: 83.3
# Theoretical density, g/cm3: 9.58
# M_tot, μB/f.u.: 0.0
# Energy above the most stable polymorph in this dataset, meV/atom: 0

# K2PuAg2Te4 PBE relaxed
data_K2PuAg2Te4
_cell_length_a 16.325
_cell_length_b 4.484
_cell_length_c 8.494
_cell_angle_alpha 90.00
_cell_angle_beta 109.56
_cell_angle_gamma 90.00
_symmetry_space_group_name_H-M 'C 1 2/m 1'
_symmetry_Int_Tables_number 12
_symmetry_space_group_name_Hall '-C 2y'
loop_
_atom_site_label
_atom_site_type_symbol
_atom_site_fract_x
_atom_site_fract_y
_atom_site_fract_z
_atom_site_occupancy
K1 K 0.133 0.000 0.075 1
Pu1 Pu 0.000 0.000 0.500 1
Ag1 Ag 0.182 0.500 0.487 1
Te1 Te 0.011 0.500 0.256 1
Te2 Te 0.198 0.000 0.703 1
# Calculated volume, Å³/cell: 585.8
# Theoretical density, g/cm3: 5.94
# Formation energy from raw total energies, eV/atom: -0.755
# M_tot, μB/f.u.: 4.2

# KNbPbO2 PBE relaxed
data_KNbPbO2
_cell_length_a 4.548
_cell_length_b 4.548
_cell_length_c 6.119
_cell_angle_alpha 90.00
_cell_angle_beta 90.00
_cell_angle_gamma 90.00
_symmetry_space_group_name_H-M 'P 4/m m m'
_symmetry_Int_Tables_number 123
_symmetry_space_group_name_Hall '-P 4 2'
loop_
_atom_site_label
_atom_site_type_symbol
_atom_site_fract_x
_atom_site_fract_y
_atom_site_fract_z
_atom_site_occupancy
K1 K 0.000 0.000 0.000 1
Nb1 Nb 0.500 0.500 0.000 1
Pb1 Pb 0.000 0.000 0.500 1
O1 O 0.000 0.500 0.500 1
# Calculated volume, Å³/cell: 126.5
# Theoretical density, g/cm3: 4.87
# Formation energy from raw total energies, eV/atom: 0.945
# M_tot, μB/f.u.: 4.7

# Ca2ErNbN4 PBE relaxed
data_Ca2ErNbN4
_cell_length_a 5.790
_cell_length_b 3.323
_cell_length_c 5.920
_cell_angle_alpha 90.00
_cell_angle_beta 108.82
_cell_angle_gamma 90.00
_symmetry_space_group_name_H-M 'P 1 2/m 1'
_symmetry_Int_Tables_number 10
_symmetry_space_group_name_Hall '-P 2y'
loop_
_atom_site_label
_atom_site_type_symbol
_atom_site_fract_x
_atom_site_fract_y
_atom_site_fract_z
_atom_site_occupancy
Ca1 Ca 0.000 0.000 0.000 1
Ca2 Ca 0.500 0.500 0.000 1
Er1 Er 0.000 0.500 0.500 1
Nb1 Nb 0.500 0.000 0.500 1
N1 N 0.265 0.000 0.715 1
N2 N 0.277 0.500 0.284 1
# Calculated volume, Å³/cell: 107.8
# Theoretical density, g/cm3: 6.10
# Formation energy from raw total energies, eV/atom: -1.265
# M_tot, μB/f.u.: 0.0

# BC4 PBE relaxed
data_BC4
_cell_length_a 2.5605
_cell_length_b 2.5605
_cell_length_c 32.1566
_cell_angle_alpha 90.00
_cell_angle_beta 90.00
_cell_angle_gamma 120.00
_symmetry_space_group_name_H-M 'R 3 m'
_symmetry_Int_Tables_number 160
_symmetry_space_group_name_Hall 'R 3 -2"'
loop_
_atom_site_label
_atom_site_type_symbol
_atom_site_fract_x
_atom_site_fract_y
_atom_site_fract_z
_atom_site_occupancy
B1 B 0.0000 0.0000 0.0000 1
B2 B 0.0000 0.0000 0.1988 1
C1 C 0.0000 0.0000 0.1481 1
C2 C 0.0000 0.0000 0.3544 1
C3 C 0.0000 0.0000 0.4013 1
C4 C 0.0000 0.0000 0.5530 1
C5 C 0.0000 0.0000 0.6001 1
C6 C 0.0000 0.0000 0.7509 1
C7 C 0.0000 0.0000 0.7995 1
C8 C 0.0000 0.0000 0.9497 1
# Calculated volume, Å³/cell: 182.6
# Theoretical density, g/cm3: 3.21
# M_tot, μB/f.u.: 0.0
# Energy above the most stable polymorph in this dataset, meV/atom: 54

# Cs2NaMgSb2 PBE relaxed
data_Cs2NaMgSb2
_cell_length_a 7.533
_cell_length_b 17.546
_cell_length_c 7.324
_cell_angle_alpha 90.00
_cell_angle_beta 90.00
_cell_angle_gamma 90.00
_symmetry_space_group_name_H-M 'I b a m'
_symmetry_Int_Tables_number 72
_symmetry_space_group_name_Hall '-I 2 2c'
loop_
_atom_site_label
_atom_site_type_symbol
_atom_site_fract_x
_atom_site_fract_y
_atom_site_fract_z
_atom_site_occupancy
Cs1 Cs 0.236 0.171 0.000 1
Na1 Na 0.000 0.000 0.250 1
Mg1 Mg 0.000 0.500 0.250 1
Sb1 Sb 0.221 0.409 0.000 1
# Calculated volume, Å³/cell: 968.0
# Theoretical density, g/cm3: 3.82
# Formation energy from raw total energies, eV/atom: -0.454
# M_tot, μB/f.u.: 0.0

# SrGa4Ni4 PBE relaxed
data_SrGa4Ni4
_cell_length_a 5.780
_cell_length_b 5.780
_cell_length_c 8.501
_cell_angle_alpha 90.00
_cell_angle_beta 90.00
_cell_angle_gamma 90.00
_symmetry_space_group_name_H-M 'P 42/n m c'
_symmetry_Int_Tables_number 137
loop_
_symmetry_equiv_pos_as_xyz
'x,y,z'
'-x,-y,-z'
'-y+1/2,x,z+1/2'
'y+1/2,-x,-z+1/2'
'-x+1/2,-y+1/2,z'
'x+1/2,y+1/2,-z'
'y,-x+1/2,z+1/2'
'-y,x+1/2,-z+1/2'
'x+1/2,-y,-z'
'-x+1/2,y,z'
'-y,-x,-z+1/2'
'y,x,z+1/2'
'-x,y+1/2,-z'
'x,-y+1/2,z'
'y+1/2,x+1/2,-z+1/2'
'-y+1/2,-x+1/2,z+1/2'
loop_
_atom_site_label
_atom_site_type_symbol
_atom_site_fract_x
_atom_site_fract_y
_atom_site_fract_z
_atom_site_occupancy
Sr1 Sr 0.250 0.750 0.250 1
Ga1 Ga 0.034 0.250 0.063 1
Ni1 Ni 0.027 0.250 0.351 1
# Calculated volume, Å³/cell: 284.0
# Electronic total energy, eV for the cell shown: -80.2
# Theoretical density, g/cm3: 7.03
# M_tot, μB/f.u.: 0.0

# TcTe2Se PBE relaxed
data_TcTe2Se
_cell_length_a 3.177
_cell_length_b 4.919
_cell_length_c 12.495
_cell_angle_alpha 90.00
_cell_angle_beta 90.00
_cell_angle_gamma 90.00
_symmetry_space_group_name_H-M 'I m m 2'
_symmetry_Int_Tables_number 44
_symmetry_space_group_name_Hall 'I 2 -2'
loop_
_atom_site_label
_atom_site_type_symbol
_atom_site_fract_x
_atom_site_fract_y
_atom_site_fract_z
_atom_site_occupancy
Tc1 Tc 0.000 0.000 0.000 1
Te1 Te 0.000 0.000 0.536 1
Te2 Te 0.000 0.500 0.693 1
Se1 Se 0.000 0.500 0.349 1
# Calculated volume, Å³/cell: 195.3
# Theoretical density, g/cm3: 7.35
# Formation energy from raw total energies, eV/atom: 0.158
# M_tot, μB/f.u.: 0.0

# Hf2Ag2Bi PBE relaxed
data_Hf2Ag2Bi
_cell_length_a 7.902
_cell_length_b 7.902
_cell_length_c 3.605
_cell_angle_alpha 90.00
_cell_angle_beta 90.00
_cell_angle_gamma 90.00
_symmetry_space_group_name_H-M 'P 4/m b m'
_symmetry_Int_Tables_number 127
_symmetry_space_group_name_Hall '-P 4 2ab'
loop_
_atom_site_label
_atom_site_type_symbol
_atom_site_fract_x
_atom_site_fract_y
_atom_site_fract_z
_atom_site_occupancy
Hf1 Hf 0.156 0.344 0.000 1
Ag1 Ag 0.135 0.635 0.500 1
Bi1 Bi 0.000 0.000 0.000 1
# Calculated volume, Å³/cell: 225.1
# Theoretical density, g/cm3: 11.53
# M_tot, μB/f.u.: 0.0
# Energy above the most stable polymorph in this dataset, meV/atom: 67

# LuTlPb PBE relaxed
data_LuTlPb
_cell_length_a 3.718
_cell_length_b 3.718
_cell_length_c 12.299
_cell_angle_alpha 90.00
_cell_angle_beta 90.00
_cell_angle_gamma 90.00
_symmetry_space_group_name_H-M 'I 4 m m'
_symmetry_Int_Tables_number 107
_symmetry_space_group_name_Hall 'I 4 -2'
loop_
_atom_site_label
_atom_site_type_symbol
_atom_site_fract_x
_atom_site_fract_y
_atom_site_fract_z
_atom_site_occupancy
Lu1 Lu 0.000 0.000 0.000 1
Tl1 Tl 0.000 0.000 0.343 1
Pb1 Pb 0.000 0.000 0.666 1
# Calculated volume, Å³/cell: 170.0
# Theoretical density, g/cm3: 11.46
# M_tot, μB/f.u.: 0.0
# Energy above the most stable polymorph in this dataset, meV/atom: 28

# Ce2NdSnN PBE relaxed
data_Ce2NdSnN
_cell_length_a 4.873
_cell_length_b 4.873
_cell_length_c 5.088
_cell_angle_alpha 90.00
_cell_angle_beta 90.00
_cell_angle_gamma 90.00
_symmetry_space_group_name_H-M 'P 4/m m m'
_symmetry_Int_Tables_number 123
_symmetry_space_group_name_Hall '-P 4 2'
loop_
_atom_site_label
_atom_site_type_symbol
_atom_site_fract_x
_atom_site_fract_y
_atom_site_fract_z
_atom_site_occupancy
Ce1 Ce 0.000 0.500 0.000 1
Nd1 Nd 0.000 0.000 0.500 1
Sn1 Sn 0.500 0.500 0.500 1
N1 N 0.000 0.000 0.000 1
# Calculated volume, Å³/cell: 120.8
# Theoretical density, g/cm3: 7.66
# Formation energy from raw total energies, eV/atom: -0.954
# M_tot, μB/f.u.: 1.7

# Be2NiW PBE relaxed
data_Be2NiW
_cell_length_a 2.658
_cell_length_b 2.658
_cell_length_c 6.056
_cell_angle_alpha 90.00
_cell_angle_beta 90.00
_cell_angle_gamma 90.00
_symmetry_space_group_name_H-M 'P 4 m m'
_symmetry_Int_Tables_number 99
_symmetry_space_group_name_Hall 'P 4 -2'
loop_
_atom_site_label
_atom_site_type_symbol
_atom_site_fract_x
_atom_site_fract_y
_atom_site_fract_z
_atom_site_occupancy
Be1 Be 0.000 0.000 0.000 1
Be2 Be 0.500 0.500 0.194 1
Ni1 Ni 0.000 0.000 0.399 1
W1 W 0.500 0.500 0.713 1
# Calculated volume, Å³/cell: 42.8
# Theoretical density, g/cm3: 10.11
# M_tot, μB/f.u.: 0.0
# Energy above the most stable polymorph in this dataset, meV/atom: 64